Entry 1:
A plane-wave DFT calculation with PBE was carried out for a relaxed structure of AlSb2AsH.

Values from the calculation:
space-group type = P4/mmm, No. 123
E = -0.2790 Ry per atom

Structure (extended XYZ):
```
5
Lattice="5.511 0.000 0.000 0.000 5.511 0.000 0.000 0.000 3.338" Properties=species:S:1:pos:R:3 pbc="T T T"
Al 0.000 0.000 0.000
Sb 0.000 2.756 0.000
Sb 2.756 0.000 0.000
As 2.756 2.756 1.669
H 0.000 0.000 1.669
```


Entry 2:
A plane-wave DFT calculation with PBE was carried out for a relaxed structure of AlSbAsH2.

Values from the calculation:
space-group type = P4/mmm, No. 123
E = -0.2643 Ry per atom

Structure (extended XYZ):
```
5
Lattice="3.848 0.000 0.000 0.000 3.848 0.000 0.000 0.000 5.371" Properties=species:S:1:pos:R:3 pbc="T T T"
Al 0.000 0.000 0.000
Sb 1.924 1.924 2.685
As 0.000 0.000 2.685
H 0.000 1.924 0.000
H 1.924 0.000 0.000
```